# 1
Below is an optimized crystal structure of Fe2TcNi, with properties calculated at the PBE-GGA level.

total moment: 4.86 μB per formula unit
ρ: 9.14 g/cm3
SG: P4/mmm, No. 123
N(E_F): 1.174 states/eV/atom
formation energy from the elements: 6 kJ/mol of atoms

a = 2.596 Å, b = 2.596 Å, c = 7.235 Å
α = 90.00°, β = 90.00°, γ = 90.00°
Fractional coordinates of all 4 atoms:
Fe (0.000, 0.000, 0.237)
Fe (0.000, 0.000, 0.763)
Tc (0.500, 0.500, 0.500)
Ni (0.500, 0.500, 0.000)

***

# 2
Below is an optimized crystal structure of RbCaMg6, with properties calculated at the PBE-GGA level.

total moment: 0.00 μB per formula unit
ρ: 1.87 g/cm3
SG: Amm2, No. 38
E above lowest polymorph: 0 meV/atom
N(E_F): 0.449 states/eV/atom
formation energy from the elements: 18 kJ/mol of atoms

a = 5.355 Å, b = 6.853 Å, c = 13.118 Å
α = 90.00°, β = 90.00°, γ = 90.00°
Fractional coordinates of all 16 atoms:
Rb (0.000, 0.000, 0.000)
Rb (0.000, 0.500, 0.500)
Ca (0.000, 0.000, 0.468)
Ca (0.000, 0.500, 0.968)
Mg (0.000, 0.233, 0.736)
Mg (0.000, 0.267, 0.236)
Mg (0.000, 0.733, 0.236)
Mg (0.000, 0.767, 0.736)
Mg (0.500, 0.000, 0.175)
Mg (0.500, 0.000, 0.643)
Mg (0.500, 0.247, 0.864)
Mg (0.500, 0.253, 0.364)
Mg (0.500, 0.500, 0.143)
Mg (0.500, 0.500, 0.675)
Mg (0.500, 0.747, 0.364)
Mg (0.500, 0.753, 0.864)

***

# 3
Below is an optimized crystal structure of La3YNi8, with properties calculated at the PBE-GGA level.

total moment: 0.00 μB per formula unit
ρ: 8.24 g/cm3
SG: Cm, No. 8
N(E_F): 0.687 states/eV/atom
formation energy from the elements: -33 kJ/mol of atoms

a = 5.177 Å, b = 5.177 Å, c = 8.987 Å
α = 106.81°, β = 106.81°, γ = 59.99°
Fractional coordinates of all 12 atoms:
La (0.000, 0.000, 0.000)
La (0.125, 0.125, 0.376)
La (0.500, 0.500, 0.500)
Y (0.625, 0.625, 0.874)
Ni (0.058, 0.562, 0.183)
Ni (0.063, 0.063, 0.692)
Ni (0.063, 0.565, 0.692)
Ni (0.312, 0.312, 0.936)
Ni (0.562, 0.058, 0.183)
Ni (0.562, 0.562, 0.183)
Ni (0.565, 0.063, 0.692)
Ni (0.812, 0.812, 0.438)